(1)
{"formula": "YSbF", "functional": "PBE", "state": "relaxed", "raw_formation_energy_kj_per_mol_fu": -603, "magmom_total_mub_per_fu": 0.00, "de_polymorph_mev_per_atom": 0.0, "volume_a3_per_atom": 21.750, "lattice": [[4.812, 0.000, 0.000], [0.000, 3.957, 0.000], [0.000, -1.978, 3.427]], "species": ["Y", "Sb", "F"], "frac_coords": [[0.167, 0.000, 0.000], [0.667, 0.667, 0.333], [0.167, 0.333, 0.667]]}

***

(2)
{"formula": "SrCdCl4", "functional": "PBE", "state": "relaxed", "raw_formation_energy_kj_per_mol_fu": -1011, "magmom_total_mub_per_fu": 0.00, "volume_a3_per_atom": 32.476, "lattice": [[-5.026, 5.769, -2.267], [-3.183, -7.311, -0.325], [-6.214, -0.133, 5.006]], "species": ["Cl", "Cl", "Cl", "Cl", "Cl", "Cl", "Cl", "Cl", "Cd", "Cd", "Sr", "Sr"], "frac_coords": [[0.389, 0.326, 0.437], [0.237, 0.674, 0.937], [0.826, 0.263, 0.563], [0.174, 0.111, 0.063], [0.611, 0.674, 0.563], [0.763, 0.326, 0.063], [0.826, 0.889, 0.937], [0.174, 0.737, 0.437], [0.625, 0.875, 0.750], [0.375, 0.125, 0.250], [0.125, 0.375, 0.750], [0.875, 0.625, 0.250]]}

***

(3)
{"formula": "Ce2Tm3ThSe6", "functional": "PBE", "state": "relaxed", "raw_formation_energy_kj_per_mol_fu": -1973, "magmom_total_mub_per_fu": 2.25, "volume_a3_per_atom": 24.565, "lattice": [[4.028, 0.000, 0.000], [0.000, 8.396, 0.044], [-2.014, -2.686, 8.701]], "species": ["Se", "Se", "Se", "Se", "Se", "Se", "Ce", "Ce", "Tm", "Tm", "Tm", "Th"], "frac_coords": [[0.663, 0.592, 0.327], [0.995, 0.262, 0.990], [0.329, 0.929, 0.657], [0.005, 0.738, 0.010], [0.337, 0.408, 0.673], [0.671, 0.071, 0.343], [0.165, 0.329, 0.330], [0.835, 0.671, 0.670], [0.834, 0.168, 0.667], [0.500, 0.500, 0.000], [0.166, 0.832, 0.333], [0.500, 0.000, 0.000]]}

***

(4)
{"formula": "TeAsIr2", "functional": "PBE", "state": "relaxed", "raw_formation_energy_kj_per_mol_fu": 144, "magmom_total_mub_per_fu": 0.00, "de_polymorph_mev_per_atom": 504.2, "volume_a3_per_atom": 18.703, "lattice": [[3.873, 0.000, 0.000], [0.000, 3.278, -0.040], [0.000, 0.073, 5.891]], "species": ["Ir", "Ir", "As", "Te"], "frac_coords": [[0.000, 0.750, 0.005], [0.000, 0.750, 0.495], [0.500, 0.750, 0.750], [0.500, 0.250, 0.250]]}

***

(5)
{"formula": "SmPuZnIr", "functional": "PBE", "state": "relaxed", "e_form_ev_per_atom": -0.367, "magmom_total_mub_per_fu": 5.25, "volume_a3_per_atom": 21.863, "lattice": [[4.982, 0.000, 0.000], [2.491, 4.315, 0.000], [2.491, 1.438, 4.068]], "species": ["Zn", "Ir", "Sm", "Pu"], "frac_coords": [[0.500, 0.500, 0.500], [0.000, 0.000, 0.000], [0.750, 0.750, 0.750], [0.250, 0.250, 0.250]]}

***

(6)
{"formula": "BaAcMgAu", "functional": "PBE", "state": "relaxed", "e_form_ev_per_atom": -0.290, "magmom_total_mub_per_fu": 0.00, "volume_a3_per_atom": 33.858, "lattice": [[5.764, 0.000, 0.000], [2.882, 4.992, 0.000], [2.882, 1.664, 4.707]], "species": ["Au", "Ac", "Ba", "Mg"], "frac_coords": [[0.000, 0.000, 0.000], [0.750, 0.750, 0.750], [0.250, 0.250, 0.250], [0.500, 0.500, 0.500]]}

***

(7)
{"formula": "Tb2Be2AlRh5", "functional": "PBE", "state": "relaxed", "e_form_ev_per_atom": -0.847, "magmom_total_mub_per_fu": 0.00, "volume_a3_per_atom": 14.949, "lattice": [[3.205, 0.000, 0.000], [0.000, 9.659, 0.000], [0.000, 0.000, 9.659]], "species": ["Be", "Be", "Be", "Be", "Rh", "Rh", "Rh", "Rh", "Rh", "Rh", "Rh", "Rh", "Rh", "Rh", "Tb", "Tb", "Tb", "Tb", "Al", "Al"], "frac_coords": [[0.000, 0.122, 0.622], [0.000, 0.378, 0.122], [0.000, 0.878, 0.378], [0.000, 0.622, 0.878], [0.500, 0.210, 0.066], [0.500, 0.710, 0.434], [0.500, 0.434, 0.290], [0.500, 0.290, 0.566], [0.500, 0.066, 0.790], [0.500, 0.934, 0.210], [0.500, 0.500, 0.000], [0.500, 0.790, 0.934], [0.500, 0.000, 0.500], [0.500, 0.566, 0.710], [0.000, 0.177, 0.323], [0.000, 0.323, 0.823], [0.000, 0.823, 0.677], [0.000, 0.677, 0.177], [0.000, 0.500, 0.500], [0.000, 0.000, 0.000]]}

***

(8)
{"formula": "Ba3Zn12Cd5", "functional": "PBE", "state": "relaxed", "e_form_ev_per_atom": 0.031, "magmom_total_mub_per_fu": 0.00, "volume_a3_per_atom": 27.851, "lattice": [[14.251, 0.000, 0.000], [-4.750, 13.436, 0.000], [-4.750, -6.718, 11.636]], "species": ["Zn", "Zn", "Zn", "Zn", "Zn", "Zn", "Zn", "Zn", "Zn", "Zn", "Zn", "Zn", "Zn", "Zn", "Zn", "Zn", "Zn", "Zn", "Zn", "Zn", "Zn", "Zn", "Zn", "Zn", "Zn", "Zn", "Zn", "Zn", "Zn", "Zn", "Zn", "Zn", "Zn", "Zn", "Zn", "Zn", "Zn", "Zn", "Zn", "Zn", "Zn", "Zn", "Zn", "Zn", "Zn", "Zn", "Zn", "Zn", "Cd", "Cd", "Cd", "Cd", "Cd", "Cd", "Cd", "Cd", "Cd", "Cd", "Cd", "Cd", "Cd", "Cd", "Cd", "Cd", "Cd", "Cd", "Cd", "Cd", "Ba", "Ba", "Ba", "Ba", "Ba", "Ba", "Ba", "Ba", "Ba", "Ba", "Ba", "Ba"], "frac_coords": [[0.385, 0.046, 0.101], [0.954, 0.338, 0.054], [0.046, 0.385, 0.601], [0.446, 0.546, 0.662], [0.838, 0.054, 0.454], [0.101, 0.546, 0.385], [0.284, 0.885, 0.338], [0.216, 0.162, 0.615], [0.838, 0.784, 0.885], [0.546, 0.446, 0.162], [0.601, 0.885, 0.046], [0.784, 0.838, 0.385], [0.054, 0.838, 0.954], [0.662, 0.046, 0.446], [0.554, 0.101, 0.716], [0.716, 0.115, 0.662], [0.399, 0.115, 0.954], [0.546, 0.101, 0.885], [0.054, 0.216, 0.601], [0.601, 0.716, 0.054], [0.946, 0.162, 0.046], [0.554, 0.454, 0.338], [0.784, 0.946, 0.899], [0.162, 0.946, 0.546], [0.946, 0.784, 0.399], [0.399, 0.284, 0.946], [0.046, 0.662, 0.946], [0.885, 0.601, 0.546], [0.899, 0.454, 0.615], [0.385, 0.338, 0.784], [0.454, 0.554, 0.838], [0.446, 0.899, 0.284], [0.899, 0.446, 0.784], [0.954, 0.615, 0.399], [0.338, 0.385, 0.284], [0.101, 0.554, 0.216], [0.115, 0.716, 0.162], [0.885, 0.284, 0.838], [0.615, 0.662, 0.216], [0.216, 0.054, 0.101], [0.338, 0.954, 0.554], [0.716, 0.601, 0.554], [0.115, 0.399, 0.454], [0.284, 0.399, 0.446], [0.454, 0.899, 0.115], [0.162, 0.216, 0.115], [0.615, 0.954, 0.899], [0.662, 0.615, 0.716], [0.500, 0.500, 0.000], [0.750, 0.125, 0.875], [0.000, 0.500, 0.000], [0.125, 0.375, 0.250], [0.375, 0.250, 0.125], [0.250, 0.375, 0.625], [0.500, 0.500, 0.500], [0.500, 0.000, 0.000], [0.375, 0.125, 0.750], [0.500, 0.000, 0.500], [0.625, 0.875, 0.250], [0.875, 0.250, 0.625], [0.125, 0.750, 0.375], [0.875, 0.625, 0.750], [0.000, 0.500, 0.500], [0.625, 0.750, 0.875], [0.000, 0.000, 0.500], [0.750, 0.625, 0.375], [0.000, 0.000, 0.000], [0.250, 0.875, 0.125], [0.750, 0.375, 0.125], [0.625, 0.250, 0.375], [0.125, 0.875, 0.750], [0.250, 0.625, 0.875], [0.375, 0.750, 0.625], [0.625, 0.375, 0.750], [0.125, 0.250, 0.875], [0.875, 0.750, 0.125], [0.375, 0.625, 0.250], [0.750, 0.875, 0.625], [0.250, 0.125, 0.375], [0.875, 0.125, 0.250]]}